Record 1
Ba3CaH: relaxed, GGA-PBE.

a = 5.990 Å, b = 5.990 Å, c = 5.990 Å
α = 90.00°, β = 90.00°, γ = 90.00°
Space group Pm-3m (No. 221)
One atom of each set of equivalent atoms:
Ba 0.000 0.000 0.500
Ca 0.500 0.500 0.500
H 0.000 0.000 0.000

Summary:
M_tot = 0.00 μB/f.u.
uncorrected energy = -2.34 eV per atom

Record 2
BaCaH2: relaxed, GGA-PBE.

a = 6.616 Å, b = 4.223 Å, c = 6.950 Å
α = 90.00°, β = 93.10°, γ = 90.00°
Space group Pm (No. 6)
One atom of each set of equivalent atoms:
Ba 0.000 0.000 0.000
Ba 0.469 0.000 0.634
Ca 0.519 0.500 0.128
Ca 0.947 0.500 0.483
H 0.271 0.500 0.852
H 0.570 0.000 0.015
H 0.597 0.500 0.447
H 0.856 0.500 0.165

Summary:
M_tot = 0.01 μB/f.u.
polymorph energy (0 for the lowest one) = 8 meV/atom

Record 3
BaCaH2: relaxed, GGA-PBE.

a = 4.3367 Å, b = 4.3367 Å, c = 19.3182 Å
α = 90.00°, β = 90.00°, γ = 120.00°
Space group R-3m (No. 166, hexagonal axes)
One atom of each set of equivalent atoms:
Ba 0.0000 0.0000 0.0000
Ca 0.0000 0.0000 0.5000
H 0.0000 0.0000 0.3837

Summary:
M_tot = 0.00 μB/f.u.
polymorph energy (0 for the lowest one) = 0 meV/atom

Record 4
BaCaH2: relaxed, GGA-PBE.

a = 4.526 Å, b = 4.526 Å, c = 4.336 Å
α = 90.00°, β = 90.00°, γ = 90.00°
Space group P4/mmm (No. 123)
One atom of each set of equivalent atoms:
Ba 0.000 0.000 0.000
Ca 0.500 0.500 0.500
H 0.000 0.500 0.500

Summary:
M_tot = 0.00 μB/f.u.
polymorph energy (0 for the lowest one) = 37 meV/atom